(1)
# La6Ga3Ir, optimized geometry, DFT GGA-PBE
# calculated formation energy	-478	meV/atom
# SG	No. 14
# size of the total moment	0.00	Bohr magnetons per cell
data_La6Ga3Ir
_symmetry_space_group_name_H-M 'P 1'
_symmetry_Int_Tables_number 1
_cell_length_a 5.4033
_cell_length_b 9.2047
_cell_length_c 12.8187
_cell_angle_alpha 90.00
_cell_angle_beta 114.75
_cell_angle_gamma 90.00
loop_
_symmetry_equiv_pos_as_xyz
'x,y,z'
loop_
_atom_site_label
_atom_site_type_symbol
_atom_site_fract_x
_atom_site_fract_y
_atom_site_fract_z
La1 La 0.0534 0.1811 0.0577
La2 La 0.0534 0.3189 0.5577
La3 La 0.2505 0.5035 0.2443
La4 La 0.2505 0.9965 0.7443
La5 La 0.4207 0.1560 0.4297
La6 La 0.4207 0.3440 0.9297
La7 La 0.5793 0.6560 0.0703
La8 La 0.5793 0.8440 0.5703
La9 La 0.7495 0.0035 0.2557
La10 La 0.7495 0.4965 0.7557
La11 La 0.9466 0.6811 0.4423
La12 La 0.9466 0.8189 0.9423
Ga1 Ga 0.2379 0.6613 0.7436
Ga2 Ga 0.2379 0.8387 0.2436
Ga3 Ga 0.5000 0.0000 0.0000
Ga4 Ga 0.5000 0.5000 0.5000
Ga5 Ga 0.7621 0.1613 0.7564
Ga6 Ga 0.7621 0.3387 0.2564
Ir1 Ir 0.0000 0.0000 0.5000
Ir2 Ir 0.0000 0.5000 0.0000

---

(2)
# La3Ga4Ir4, optimized geometry, DFT GGA-PBE
# calculated formation energy	-604	meV/atom
# SG	No. 217
# size of the total moment	0.00	Bohr magnetons per cell
data_La3Ga4Ir4
_symmetry_space_group_name_H-M 'P 1'
_symmetry_Int_Tables_number 1
_cell_length_a 6.7362
_cell_length_b 6.7362
_cell_length_c 6.7362
_cell_angle_alpha 109.47
_cell_angle_beta 109.47
_cell_angle_gamma 109.47
loop_
_symmetry_equiv_pos_as_xyz
'x,y,z'
loop_
_atom_site_label
_atom_site_type_symbol
_atom_site_fract_x
_atom_site_fract_y
_atom_site_fract_z
La1 La 0.0000 0.5000 0.5000
La2 La 0.5000 0.0000 0.5000
La3 La 0.5000 0.5000 0.0000
Ga1 Ga 0.0000 0.0000 0.2555
Ga2 Ga 0.0000 0.2555 0.0000
Ga3 Ga 0.2555 0.0000 0.0000
Ga4 Ga 0.7445 0.7445 0.7445
Ir1 Ir 0.0000 0.0000 0.6161
Ir2 Ir 0.0000 0.6161 0.0000
Ir3 Ir 0.3839 0.3839 0.3839
Ir4 Ir 0.6161 0.0000 0.0000

---

(3)
# La3Ga4Ir2, optimized geometry, DFT GGA-PBE
# calculated formation energy	-731	meV/atom
# SG	No. 12
# ΔE to the lowest computed polymorph	0	meV/atom
# size of the total moment	0.00	Bohr magnetons per cell
data_La3Ga4Ir2
_symmetry_space_group_name_H-M 'P 1'
_symmetry_Int_Tables_number 1
_cell_length_a 6.1396
_cell_length_b 6.1396
_cell_length_c 8.8165
_cell_angle_alpha 108.40
_cell_angle_beta 108.40
_cell_angle_gamma 40.80
loop_
_symmetry_equiv_pos_as_xyz
'x,y,z'
loop_
_atom_site_label
_atom_site_type_symbol
_atom_site_fract_x
_atom_site_fract_y
_atom_site_fract_z
La1 La 0.0000 0.0000 0.0000
La2 La 0.3162 0.3162 0.3592
La3 La 0.6838 0.6838 0.6408
Ga1 Ga 0.0238 0.0238 0.3589
Ga2 Ga 0.2612 0.2612 0.9228
Ga3 Ga 0.7388 0.7388 0.0772
Ga4 Ga 0.9762 0.9762 0.6411
Ir1 Ir 0.3902 0.3902 0.7298
Ir2 Ir 0.6098 0.6098 0.2702